Entry from Alexandria: an optimized crystal structure of Pm2Mg2Sn3 (GGA-PBE). Values from VASP.

Computed properties:
Energy of formation ... -340.3 kJ/mol of formula units
Relative energy among the computed polymorphs ... 0.0 kJ per mole of atoms
Uncorrected energy ... -56.45 eV/cell

Geometry as Quantum ESPRESSO input:
```
&SYSTEM
  ibrav = 0, nat = 14, ntyp = 3
/
ATOMIC_SPECIES
Pm 145.00 Pm.upf
Mg 24.30 Mg.upf
Sn 118.71 Sn.upf
CELL_PARAMETERS angstrom
8.284 -2.366 0.000
8.284 2.366 0.000
-7.664 0.000 10.047
ATOMIC_POSITIONS crystal
Pm 0.077 0.077 0.427
Pm 0.234 0.234 0.830
Pm 0.766 0.766 0.170
Pm 0.923 0.923 0.573
Mg 0.098 0.098 0.173
Mg 0.452 0.452 0.181
Mg 0.548 0.548 0.819
Mg 0.902 0.902 0.827
Sn 0.128 0.128 0.971
Sn 0.321 0.321 0.646
Sn 0.402 0.402 0.371
Sn 0.598 0.598 0.629
Sn 0.679 0.679 0.354
Sn 0.872 0.872 0.029
```